1.
An optimized crystal structure of K2CdAs. Source: Alexandria, functional PBE.

**Total DFT energy (no corrections)**: -2.003 eV per atom
**DOS(E_F)**: 2.30 states/eV/f.u.

Cell lengths 3.963, 4.027, 9.902 Å; angles 90.00, 90.00, 90.00 degrees
Fractional coordinates of all 4 atoms:
K  0.000  0.000  0.000
K  0.500  0.500  0.400
Cd  0.500  0.500  0.724
As  0.000  0.000  0.670

---

2.
An optimized crystal structure of SrAcSmGd. Source: Alexandria, functional PBE.

**Total DFT energy (no corrections)**: -5.959 eV per atom
**DOS(E_F)**: 7.99 states/eV/f.u.

Cell lengths 6.093, 6.093, 6.093 Å; angles 60.00, 60.00, 60.00 degrees
Fractional coordinates of all 4 atoms:
Sr  0.000  0.000  0.000
Ac  0.250  0.250  0.250
Sm  0.750  0.750  0.750
Gd  0.500  0.500  0.500

---

3.
An optimized crystal structure of Pm3PuSc2S6. Source: Alexandria, functional PBE.

**Total DFT energy (no corrections)**: -7.425 eV per atom
**DOS(E_F)**: 12.57 states/eV/f.u.
**Raw formation energy**: -23.09 eV/f.u.

Cell lengths 6.744, 6.744, 6.821 Å; angles 99.51, 99.51, 120.04 degrees
Fractional coordinates of all 12 atoms:
Pm  0.000  0.000  0.000
Pm  0.336  0.664  0.000
Pm  0.664  0.336  0.000
Pu  0.500  0.500  0.500
Sc  0.168  0.832  0.500
Sc  0.832  0.168  0.500
S  0.079  0.423  0.269
S  0.231  0.231  0.726
S  0.423  0.079  0.269
S  0.577  0.921  0.731
S  0.769  0.769  0.274
S  0.921  0.577  0.731

---

4.
An optimized crystal structure of Y2Fe17N3. Source: Alexandria, functional PBE.

**Total DFT energy (no corrections)**: -8.490 eV per atom
**DOS(E_F)**: 15.07 states/eV/f.u.
**Raw formation energy**: -5.01 eV/f.u.

Cell lengths 8.649, 8.649, 8.379 Å; angles 90.00, 90.00, 120.00 degrees
Fractional coordinates of all 44 atoms:
Y  0.000  0.000  0.250
Y  0.000  0.000  0.750
Y  0.333  0.667  0.250
Y  0.667  0.333  0.750
Fe  0.000  0.500  0.000
Fe  0.000  0.500  0.500
Fe  0.053  0.381  0.750
Fe  0.053  0.672  0.750
Fe  0.169  0.339  0.020
Fe  0.169  0.339  0.480
Fe  0.169  0.831  0.020
Fe  0.169  0.831  0.480
Fe  0.328  0.381  0.750
Fe  0.328  0.947  0.750
Fe  0.333  0.667  0.608
Fe  0.333  0.667  0.892
Fe  0.339  0.169  0.520
Fe  0.339  0.169  0.980
Fe  0.381  0.053  0.250
Fe  0.381  0.328  0.250
Fe  0.500  0.000  0.000
Fe  0.500  0.000  0.500
Fe  0.500  0.500  0.000
Fe  0.500  0.500  0.500
Fe  0.619  0.672  0.750
Fe  0.619  0.947  0.750
Fe  0.661  0.831  0.020
Fe  0.661  0.831  0.480
Fe  0.667  0.333  0.108
Fe  0.667  0.333  0.392
Fe  0.672  0.053  0.250
Fe  0.672  0.619  0.250
Fe  0.831  0.169  0.520
Fe  0.831  0.169  0.980
Fe  0.831  0.661  0.520
Fe  0.831  0.661  0.980
Fe  0.947  0.328  0.250
Fe  0.947  0.619  0.250
N  0.164  0.328  0.250
N  0.164  0.836  0.250
N  0.328  0.164  0.750
N  0.672  0.836  0.250
N  0.836  0.164  0.750
N  0.836  0.672  0.750

---

5.
An optimized crystal structure of ReTc2PdN. Source: Alexandria, functional PBE.

**Total DFT energy (no corrections)**: -9.234 eV per atom
**DOS(E_F)**: 3.88 states/eV/f.u.
**Raw formation energy**: 0.53 eV/f.u.

Cell lengths 4.058, 4.058, 4.034 Å; angles 90.00, 90.00, 90.00 degrees
Fractional coordinates of all 5 atoms:
Re  0.000  0.000  0.000
Tc  0.000  0.500  0.500
Tc  0.500  0.000  0.500
Pd  0.500  0.500  0.000
N  0.000  0.000  0.500

---

6.
An optimized crystal structure of CaAcIn2. Source: Alexandria, functional PBE.

**Total DFT energy (no corrections)**: -3.346 eV per atom
**DOS(E_F)**: 3.20 states/eV/f.u.

Cell lengths 5.661, 5.661, 5.661 Å; angles 60.00, 60.00, 60.00 degrees
Fractional coordinates of all 4 atoms:
Ca  0.000  0.000  0.000
Ac  0.500  0.500  0.500
In  0.250  0.250  0.250
In  0.750  0.750  0.750

---

7.
An optimized crystal structure of PmGa2Ag. Source: Alexandria, functional PBE.

**Total DFT energy (no corrections)**: -3.774 eV per atom
**DOS(E_F)**: 1.62 states/eV/f.u.

Cell lengths 4.899, 4.899, 4.899 Å; angles 60.00, 60.00, 60.00 degrees
Fractional coordinates of all 4 atoms:
Pm  0.000  0.000  0.000
Ga  0.250  0.250  0.250
Ga  0.750  0.750  0.750
Ag  0.500  0.500  0.500

---

8.
An optimized crystal structure of Zr3TaHg. Source: Alexandria, functional PBE.

**Total DFT energy (no corrections)**: -6.130 eV per atom
**DOS(E_F)**: 7.69 states/eV/f.u.

Cell lengths 5.181, 5.181, 5.181 Å; angles 90.00, 90.00, 90.00 degrees
Fractional coordinates of all 5 atoms:
Zr  0.000  0.000  0.500
Zr  0.000  0.500  0.000
Zr  0.500  0.000  0.000
Ta  0.500  0.500  0.500
Hg  0.000  0.000  0.000

---

9.
An optimized crystal structure of Fe2Ni3Pd. Source: Alexandria, functional PBE.

**Total DFT energy (no corrections)**: -6.493 eV per atom
**DOS(E_F)**: 6.17 states/eV/f.u.

Cell lengths 7.437, 7.437, 7.437 Å; angles 117.05, 117.05, 95.19 degrees
Fractional coordinates of all 24 atoms:
Fe  0.275  0.356  0.581
Fe  0.275  0.694  0.919
Fe  0.306  0.725  0.581
Fe  0.356  0.275  0.081
Fe  0.644  0.725  0.919
Fe  0.694  0.275  0.419
Fe  0.725  0.306  0.081
Fe  0.725  0.644  0.419
Ni  0.000  0.500  0.500
Ni  0.094  0.344  0.188
Ni  0.094  0.906  0.750
Ni  0.344  0.094  0.688
Ni  0.344  0.656  0.250
Ni  0.500  0.000  0.000
Ni  0.500  0.500  0.000
Ni  0.500  0.500  0.500
Ni  0.656  0.344  0.750
Ni  0.656  0.906  0.312
Ni  0.906  0.094  0.250
Ni  0.906  0.656  0.812
Pd  0.034  0.284  0.750
Pd  0.284  0.034  0.250
Pd  0.716  0.966  0.750
Pd  0.966  0.716  0.250

---

10.
An optimized crystal structure of Cu5Ni2Pt. Source: Alexandria, functional PBE.

**Total DFT energy (no corrections)**: -4.799 eV per atom
**DOS(E_F)**: 9.04 states/eV/f.u.

Cell lengths 7.674, 7.674, 7.674 Å; angles 152.35, 152.35, 39.51 degrees
Fractional coordinates of all 8 atoms:
Cu  0.000  0.000  0.000
Cu  0.131  0.631  0.500
Cu  0.369  0.869  0.500
Cu  0.631  0.131  0.500
Cu  0.869  0.369  0.500
Ni  0.250  0.250  0.000
Ni  0.750  0.750  0.000
Pt  0.500  0.500  0.000

---

11.
An optimized crystal structure of K5Cr. Source: Alexandria, functional PBE.

**Total DFT energy (no corrections)**: -1.892 eV per atom
**DOS(E_F)**: 3.77 states/eV/f.u.

Cell lengths 7.873, 7.873, 7.582 Å; angles 90.00, 90.00, 120.00 degrees
Fractional coordinates of all 6 atoms:
K  0.000  0.500  0.000
K  0.333  0.667  0.500
K  0.500  0.000  0.000
K  0.500  0.500  0.000
K  0.667  0.333  0.500
Cr  0.000  0.000  0.500

---

12.
An optimized crystal structure of ZrRu2Pt. Source: Alexandria, functional PBE.

**Total DFT energy (no corrections)**: -8.591 eV per atom
**DOS(E_F)**: 4.94 states/eV/f.u.

Cell lengths 4.880, 4.876, 4.022 Å; angles 65.71, 65.60, 48.70 degrees
Fractional coordinates of all 4 atoms:
Zr  0.000  0.000  0.000
Ru  0.250  0.250  0.250
Ru  0.750  0.750  0.750
Pt  0.500  0.500  0.500

---

13.
An optimized crystal structure of Ho2Si4Tc3. Source: Alexandria, functional PBE.

**Total DFT energy (no corrections)**: -7.626 eV per atom
**DOS(E_F)**: 3.32 states/eV/f.u.
**Raw formation energy**: -6.69 eV/f.u.

Cell lengths 6.766, 6.776, 6.760 Å; angles 90.00, 110.12, 90.00 degrees
Fractional coordinates of all 18 atoms:
Ho  0.191  0.168  0.058
Ho  0.191  0.332  0.558
Ho  0.809  0.668  0.442
Ho  0.809  0.832  0.942
Si  0.102  0.551  0.877
Si  0.102  0.949  0.377
Si  0.487  0.641  0.632
Si  0.487  0.859  0.132
Si  0.513  0.141  0.868
Si  0.513  0.359  0.368
Si  0.898  0.051  0.623
Si  0.898  0.449  0.123
Tc  0.239  0.650  0.258
Tc  0.239  0.850  0.758
Tc  0.500  0.000  0.500
Tc  0.500  0.500  0.000
Tc  0.761  0.150  0.242
Tc  0.761  0.350  0.742

---

14.
An optimized crystal structure of Pm2PrHo4Tm. Source: Alexandria, functional PBE.

**Total DFT energy (no corrections)**: -4.215 eV per atom
**DOS(E_F)**: 19.56 states/eV/f.u.

Cell lengths 9.511, 9.511, 6.803 Å; angles 110.94, 110.94, 88.36 degrees
Fractional coordinates of all 16 atoms:
Pm  0.000  0.000  0.000
Pm  0.000  0.000  0.500
Pm  0.000  0.500  0.000
Pm  0.500  0.000  0.500
Pr  0.000  0.500  0.500
Pr  0.500  0.000  0.000
Ho  0.255  0.255  0.006
Ho  0.255  0.255  0.506
Ho  0.255  0.744  0.500
Ho  0.256  0.745  0.000
Ho  0.744  0.255  0.000
Ho  0.745  0.256  0.500
Ho  0.745  0.745  0.494
Ho  0.745  0.745  0.994
Tm  0.500  0.500  0.000
Tm  0.500  0.500  0.500

---

15.
An optimized crystal structure of Nd6Er12Mg. Source: Alexandria, functional PBE.

**Total DFT energy (no corrections)**: -4.342 eV per atom
**DOS(E_F)**: 26.20 states/eV/f.u.

Cell lengths 8.493, 8.493, 8.493 Å; angles 88.95, 88.95, 88.95 degrees
Fractional coordinates of all 19 atoms:
Nd  0.196  0.592  0.761
Nd  0.239  0.804  0.408
Nd  0.408  0.239  0.804
Nd  0.592  0.761  0.196
Nd  0.761  0.196  0.592
Nd  0.804  0.408  0.239
Er  0.038  0.277  0.938
Er  0.062  0.962  0.723
Er  0.140  0.309  0.485
Er  0.277  0.938  0.038
Er  0.309  0.485  0.140
Er  0.485  0.140  0.309
Er  0.515  0.860  0.691
Er  0.691  0.515  0.860
Er  0.723  0.062  0.962
Er  0.860  0.691  0.515
Er  0.938  0.038  0.277
Er  0.962  0.723  0.062
Mg  0.500  0.500  0.500

---

16.
An optimized crystal structure of RbYCdHg2. Source: Alexandria, functional PBE.

**Total DFT energy (no corrections)**: -1.343 eV per atom
**DOS(E_F)**: 6.39 states/eV/f.u.

Cell lengths 5.877, 5.877, 7.279 Å; angles 90.00, 90.00, 90.00 degrees
Fractional coordinates of all 5 atoms:
Rb  0.000  0.000  0.000
Y  0.000  0.000  0.500
Cd  0.500  0.500  0.000
Hg  0.000  0.500  0.500
Hg  0.500  0.000  0.500

---

17.
An optimized crystal structure of Sr3CaRh. Source: Alexandria, functional PBE.

**Total DFT energy (no corrections)**: -3.067 eV per atom
**DOS(E_F)**: 3.58 states/eV/f.u.

Cell lengths 8.093, 8.093, 9.998 Å; angles 125.90, 125.90, 62.77 degrees
Fractional coordinates of all 10 atoms:
Sr  0.035  0.558  0.836
Sr  0.039  0.039  0.331
Sr  0.442  0.965  0.164
Sr  0.542  0.046  0.827
Sr  0.954  0.458  0.173
Sr  0.961  0.961  0.669
Ca  0.447  0.482  0.658
Ca  0.518  0.553  0.342
Rh  0.001  0.999  0.000
Rh  0.256  0.744  0.500

---

18.
An optimized crystal structure of BaCa3Ti. Source: Alexandria, functional PBE.

**Total DFT energy (no corrections)**: -2.658 eV per atom
**DOS(E_F)**: 11.62 states/eV/f.u.

Cell lengths 6.093, 6.093, 6.093 Å; angles 90.00, 90.00, 90.00 degrees
Fractional coordinates of all 5 atoms:
Ba  0.000  0.000  0.000
Ca  0.000  0.500  0.500
Ca  0.500  0.000  0.500
Ca  0.500  0.500  0.000
Ti  0.500  0.500  0.500

---

19.
An optimized crystal structure of Si3BiMo. Source: Alexandria, functional PBE.

**Total DFT energy (no corrections)**: -5.571 eV per atom
**DOS(E_F)**: 5.83 states/eV/f.u.
**Raw formation energy**: 3.13 eV/f.u.

Cell lengths 4.826, 4.826, 4.826 Å; angles 90.00, 90.00, 90.00 degrees
Fractional coordinates of all 5 atoms:
Si  0.000  0.000  0.500
Si  0.000  0.500  0.000
Si  0.500  0.000  0.000
Bi  0.500  0.500  0.500
Mo  0.000  0.000  0.000

---

20.
An optimized crystal structure of CoRu2Pt. Source: Alexandria, functional PBE.

**Total DFT energy (no corrections)**: -7.532 eV per atom
**DOS(E_F)**: 4.08 states/eV/f.u.

Cell lengths 4.305, 4.305, 4.305 Å; angles 60.00, 60.00, 60.00 degrees
Fractional coordinates of all 4 atoms:
Co  0.000  0.000  0.000
Ru  0.250  0.250  0.250
Ru  0.750  0.750  0.750
Pt  0.500  0.500  0.500

---

21.
An optimized crystal structure of Tb2YAl9. Source: Alexandria, functional PBE.

**Total DFT energy (no corrections)**: -4.485 eV per atom
**DOS(E_F)**: 5.49 states/eV/f.u.

Cell lengths 9.340, 9.340, 9.340 Å; angles 34.77, 34.77, 34.77 degrees
Fractional coordinates of all 12 atoms:
Tb  0.142  0.142  0.142
Tb  0.858  0.858  0.858
Y  0.000  0.000  0.000
Al  0.076  0.587  0.587
Al  0.335  0.335  0.335
Al  0.413  0.413  0.924
Al  0.413  0.924  0.413
Al  0.500  0.500  0.500
Al  0.587  0.076  0.587
Al  0.587  0.587  0.076
Al  0.665  0.665  0.665
Al  0.924  0.413  0.413

---

22.
An optimized crystal structure of Tb2UN3. Source: Alexandria, functional PBE.

**Total DFT energy (no corrections)**: -8.822 eV per atom
**DOS(E_F)**: 4.64 states/eV/f.u.
**Raw formation energy**: -7.41 eV/f.u.

Cell lengths 9.133, 9.133, 6.533 Å; angles 101.01, 101.01, 22.03 degrees
Fractional coordinates of all 12 atoms:
Tb  0.169  0.169  0.380
Tb  0.321  0.321  0.147
Tb  0.679  0.679  0.853
Tb  0.831  0.831  0.620
U  0.000  0.000  0.500
U  0.500  0.500  0.000
N  0.037  0.037  0.193
N  0.252  0.252  0.745
N  0.417  0.417  0.434
N  0.583  0.583  0.566
N  0.748  0.748  0.255
N  0.963  0.963  0.807